YAl4Ag2 PBE relaxed; symmetry = No. 12; total DFT energy (no corrections) = -4.06 eV per atom; calculated formation energy = -0.19 eV/atom
1.0
4.510 0.044 2.468
1.894 5.115 2.012
-0.137 0.138 5.809
Y Al Ag
1 4 2
Direct
0.000 0.000 0.000 Y
0.667 0.609 0.017 Al
0.333 0.391 0.983 Al
0.667 0.017 0.609 Al
0.333 0.983 0.391 Al
0.816 0.440 0.440 Ag
0.184 0.560 0.560 Ag

=====

YAlAg2 PBE relaxed; symmetry = No. 47; total DFT energy (no corrections) = -4.13 eV per atom; calculated formation energy = -0.16 eV/atom
1.0
-1.767 -2.218 -1.701
2.738 -1.242 -1.225
0.419 -4.744 5.748
Y Al Ag
1 1 2
Direct
0.500 0.500 0.750 Y
0.500 0.500 0.250 Al
0.000 0.000 0.040 Ag
0.000 0.000 0.460 Ag

=====

Y3Al4Ag4 PBE relaxed; symmetry = No. 2; total DFT energy (no corrections) = -4.54 eV per atom; calculated formation energy = -0.38 eV/atom
1.0
3.542 -0.001 0.400
-0.081 4.561 0.717
0.178 0.088 14.318
Y Al Ag
3 4 4
Direct
0.144 0.644 0.713 Y
0.856 0.356 0.287 Y
0.000 0.000 0.000 Y
0.548 0.548 0.905 Al
0.452 0.452 0.095 Al
0.312 0.812 0.376 Al
0.688 0.188 0.624 Al
0.594 0.094 0.812 Ag
0.261 0.261 0.478 Ag
0.739 0.739 0.522 Ag
0.406 0.906 0.188 Ag

=====

YAl2Ag2 PBE relaxed; symmetry = No. 139; total DFT energy (no corrections) = -4.24 eV per atom; calculated formation energy = -0.31 eV/atom
1.0
4.332 0.000 0.000
0.000 4.332 0.000
2.166 2.166 5.406
Y Al Ag
1 2 2
Direct
0.000 0.000 0.000 Y
0.384 0.384 0.231 Al
0.616 0.616 0.769 Al
0.750 0.250 0.500 Ag
0.250 0.750 0.500 Ag

=====

YAlAg3 PBE relaxed; symmetry = No. 221; total DFT energy (no corrections) = -2.74 eV per atom; calculated formation energy = 1.01 eV/atom; energy relative to the lowest polymorph listed for this composition = 1256 meV/atom
1.0
5.512 0.000 0.000
0.000 5.512 0.000
0.000 0.000 5.512
Y Al Ag
1 1 3
Direct
0.000 0.000 0.000 Y
0.500 0.500 0.500 Al
0.000 0.500 0.000 Ag
0.000 0.000 0.500 Ag
0.500 0.000 0.000 Ag

=====

Y2AlAg2 PBE relaxed; symmetry = No. 139; total DFT energy (no corrections) = -4.57 eV per atom; calculated formation energy = -0.10 eV/atom
1.0
3.763 0.000 0.000
0.000 3.763 0.000
1.881 1.881 8.736
Y Al Ag
2 1 2
Direct
0.398 0.398 0.205 Y
0.602 0.602 0.795 Y
0.000 0.000 0.000 Al
0.750 0.250 0.500 Ag
0.250 0.750 0.500 Ag

=====

Y3Al6Ag5 PBE relaxed; symmetry = No. 71; total DFT energy (no corrections) = -4.35 eV per atom; calculated formation energy = -0.35 eV/atom
1.0
4.251 0.000 1.163
1.580 7.822 2.578
-0.009 0.153 8.384
Y Al Ag
3 6 5
Direct
0.000 0.000 0.000 Y
0.703 0.297 0.297 Y
0.297 0.703 0.703 Y
0.500 0.689 0.311 Al
0.500 0.311 0.689 Al
0.864 0.418 0.854 Al
0.136 0.582 0.146 Al
0.864 0.854 0.418 Al
0.136 0.146 0.582 Al
0.660 0.697 0.982 Ag
0.340 0.303 0.018 Ag
0.660 0.982 0.697 Ag
0.340 0.018 0.303 Ag
0.000 0.500 0.500 Ag

=====

Y2Al2Ag3 PBE relaxed; symmetry = No. 63; total DFT energy (no corrections) = -4.44 eV per atom; calculated formation energy = -0.30 eV/atom
1.0
-3.146 -2.778 0.804
4.568 -4.022 3.972
-0.879 6.470 7.562
Y Al Ag
4 4 6
Direct
0.154 0.250 0.307 Y
0.846 0.750 0.693 Y
0.943 0.250 0.886 Y
0.057 0.750 0.114 Y
0.693 0.942 0.386 Al
0.307 0.058 0.614 Al
0.307 0.442 0.614 Al
0.693 0.558 0.386 Al
0.225 0.750 0.451 Ag
0.775 0.250 0.549 Ag
0.565 0.442 0.130 Ag
0.435 0.558 0.870 Ag
0.435 0.942 0.870 Ag
0.565 0.058 0.130 Ag